(1)
# UCoN | the Alexandria database | PBE | relaxed
# **Fermi-level density of states**: 4.47 states/eV/cell
# **E_tot**: -9.304 eV per atom
# **Formation energy without anion corrections**: -398 meV per atom
# **Mass density**: 13.7 g/cm³
data_UCoN
_symmetry_space_group_name_H-M 'P -6 m 2'
_symmetry_Int_Tables_number 187
_symmetry_space_group_name_Hall 'P -6 2'
_cell_length_a 3.5909
_cell_length_b 3.5909
_cell_length_c 3.3671
_cell_angle_alpha 90.00
_cell_angle_beta 90.00
_cell_angle_gamma 120.00
loop_
_atom_site_label
_atom_site_fract_x
_atom_site_fract_y
_atom_site_fract_z
U1 0.0000 0.0000 0.0000
Co1 0.3333 0.6667 0.5000
N1 0.6667 0.3333 0.5000

---

(2)
# UCoN | the Alexandria database | PBE | relaxed
# **Fermi-level density of states**: 8.78 states/eV/cell
# **E_tot**: -8.993 eV per atom
# **Formation energy without anion corrections**: -87 meV per atom
# **Mass density**: 11.9 g/cm³
data_UCoN
_symmetry_space_group_name_H-M 'I 4 m m'
_symmetry_Int_Tables_number 107
_symmetry_space_group_name_Hall 'I 4 -2'
_cell_length_a 3.7803
_cell_length_b 3.7803
_cell_length_c 6.0897
_cell_angle_alpha 90.00
_cell_angle_beta 90.00
_cell_angle_gamma 90.00
loop_
_atom_site_label
_atom_site_fract_x
_atom_site_fract_y
_atom_site_fract_z
U1 0.0000 0.0000 0.0000
Co1 0.0000 0.0000 0.3647
N1 0.0000 0.0000 0.6657

---

(3)
# UCoN2 | the Alexandria database | PBE | relaxed
# **Fermi-level density of states**: 18.07 states/eV/cell
# **E_tot**: -9.463 eV per atom
# **Formation energy without anion corrections**: -702 meV per atom
# **Mass density**: 9.0 g/cm³
data_UCoN2
_symmetry_space_group_name_H-M 'R -3 m'
_symmetry_Int_Tables_number 166
_symmetry_space_group_name_Hall '-R 3 2"'
_cell_length_a 3.5879
_cell_length_b 3.5879
_cell_length_c 16.0954
_cell_angle_alpha 90.00
_cell_angle_beta 90.00
_cell_angle_gamma 120.00
loop_
_atom_site_label
_atom_site_fract_x
_atom_site_fract_y
_atom_site_fract_z
U1 0.0000 0.0000 0.0000
Co1 0.0000 0.0000 0.5000
N1 0.0000 0.0000 0.3876

---

(4)
# UCoN | the Alexandria database | PBE | relaxed
# **Fermi-level density of states**: 6.90 states/eV/cell
# **E_tot**: -9.571 eV per atom
# **Formation energy without anion corrections**: -665 meV per atom
# **Mass density**: 11.3 g/cm³
data_UCoN
_symmetry_space_group_name_H-M 'P 1 21/m 1'
_symmetry_Int_Tables_number 11
_cell_length_a 3.5720
_cell_length_b 3.9684
_cell_length_c 6.6733
_cell_angle_alpha 90.00
_cell_angle_beta 104.67
_cell_angle_gamma 90.00
loop_
_symmetry_equiv_pos_as_xyz
'x,y,z'
'-x,-y,-z'
'-x,y+1/2,-z'
'x,-y+1/2,z'
loop_
_atom_site_label
_atom_site_fract_x
_atom_site_fract_y
_atom_site_fract_z
U1 0.1849 0.2500 0.3103
Co1 0.2713 0.7500 0.9761
N1 0.2533 0.7500 0.4799

---

Number 1 is which compound? UCoN

---

What is the Fermi-level density of states in the first record? 4.47 states/eV/cell